1.
# NaCaPmZn GGA-PBE optimized geometry
data_NaCaPmZn
_cell_length_a 7.6713
_cell_length_b 7.6713
_cell_length_c 7.6713
_cell_angle_alpha 90.00
_cell_angle_beta 90.00
_cell_angle_gamma 90.00
_space_group_name_H-M_alt 'F -4 3 m'
_space_group_IT_number 216
_space_group_name_Hall 'F -4 2 3'
loop_
_atom_site_label
_atom_site_type_symbol
_atom_site_fract_x
_atom_site_fract_y
_atom_site_fract_z
_atom_site_occupancy
Na1 Na 0.0000 0.0000 0.0000 1
Ca1 Ca 0.2500 0.2500 0.2500 1
Pm1 Pm 0.2500 0.2500 0.7500 1
Zn1 Zn 0.0000 0.0000 0.5000 1
# * D(E_F): 0.615 states/eV/atom
# * size of the total moment: 0.0 μB per formula unit
# * E: -2.315 eV/atom
# * ΔH_f (0 K): 8.4 kJ/mol of formula units

2.
# Na2CaPr GGA-PBE optimized geometry
data_Na2CaPr
_cell_length_a 3.6190
_cell_length_b 3.6190
_cell_length_c 40.6669
_cell_angle_alpha 90.00
_cell_angle_beta 90.00
_cell_angle_gamma 120.00
_space_group_name_H-M_alt 'R -3 m'
_space_group_IT_number 166
_space_group_name_Hall '-R 3 2"'
loop_
_atom_site_label
_atom_site_type_symbol
_atom_site_fract_x
_atom_site_fract_y
_atom_site_fract_z
_atom_site_occupancy
Na1 Na 0.0000 0.0000 0.0860 1
Ca1 Ca 0.0000 0.0000 0.5000 1
Pr1 Pr 0.0000 0.0000 0.0000 1
# * D(E_F): 1.004 states/eV/atom
# * size of the total moment: 0.0 μB per formula unit
# * E: -2.129 eV/atom
# * offset from the most stable computed form: 0.00 eV/f.u.
# * ΔH_f (0 K): 87.3 kJ/mol of formula units